Density functional theory data (PBE-GGA) for TeIN2Cl after structural relaxation.

The calculation puts the raw formation energy at 10.769 eV per formula unit. The value obtained for the total energy is -0.1826 Ry/atom. The offset from the most stable computed form comes out at 801 meV/atom.

It has space group P4/mmm (No. 123), with a = 4.637 Å, b = 4.637 Å, c = 5.788 Å, α = 90.00°, β = 90.00° and γ = 90.00°. The asymmetric unit holds Te at (0.000, 0.000, 0.000), I at (0.500, 0.500, 0.000), N at (0.000, 0.500, 0.500) and Cl at (0.000, 0.000, 0.500).



Density functional theory data (PBE-GGA) for ZrZn4Co after structural relaxation.

The formation energy from the elements comes out at 0.004 eV per atom. The value obtained for the total energy is -0.2539 Ry/atom. The offset from the most stable computed form comes out at 194 meV/atom.

It has space group C2/m (No. 12), with a = 13.612 Å, b = 6.299 Å, c = 4.774 Å, α = 90.00°, β = 110.45° and γ = 90.00°. The asymmetric unit holds Zr at (0.209, 0.000, 0.208), Zn at (0.000, 0.183, 0.000), Zn at (0.115, 0.216, 0.614), Zn at (0.169, 0.500, 0.170) and Co at (0.000, 0.500, 0.266).



Density functional theory data (PBE-GGA) for Ce7Al2Tc2 after structural relaxation.

The formation energy from the elements comes out at 0.006 eV per atom. The value obtained for the total energy is -0.4656 Ry/atom.

It has space group Cmmm (No. 65), with a = 7.880 Å, b = 10.819 Å, c = 6.714 Å, α = 90.00°, β = 90.00° and γ = 90.00°. The asymmetric unit holds Ce at (0.000, 0.000, 0.000), Ce at (0.000, 0.500, 0.220), Ce at (0.250, 0.250, 0.279), Al at (0.167, 0.000, 0.500) and Tc at (0.000, 0.249, 0.000).